# MnPIrO2

A geometry-optimized MnPIrO2 structure (PBE+U, Alexandria via LeMat-Bulk).

Geometry as POSCAR:
```
MnPIrO2
1.0
-2.708 1.460 1.691
-2.211 -2.132 -1.699
0.647 -4.798 5.178
P Ir O Mn
1 1 2 1
direct
0.000 0.000 0.500 P
0.500 0.500 0.500 Ir
0.000 0.500 0.000 O
0.500 0.000 0.000 O
0.000 0.000 0.000 Mn
```

Calculated values
The total energy comes out at -6.324 eV/atom.